No. 1
HfSiNF2, optimized geometry, DFT PBE; crystal system = tetragonal
1.0
4.459 0.000 0.000
0.000 4.459 0.000
0.000 0.000 3.246
Si F N Hf
1 2 1 1
direct
0.000 0.000 0.000
0.000 0.500 0.000
0.500 0.000 0.000
0.000 0.000 0.500
0.500 0.500 0.500

---

No. 2
HfSiN2F, optimized geometry, DFT PBE; crystal system = tetragonal
1.0
4.213 0.000 0.000
0.000 4.213 0.000
0.000 0.000 4.036
N Si F Hf
2 1 1 1
direct
0.500 0.000 0.000
0.000 0.500 0.000
0.500 0.500 0.500
0.000 0.000 0.500
0.000 0.000 0.000

---

No. 3
HfSiNF2, optimized geometry, DFT PBE; crystal system = tetragonal
1.0
4.151 0.000 0.000
0.000 4.151 0.000
0.000 0.000 4.241
N F Hf Si
1 2 1 1
direct
0.000 0.000 0.500
0.500 0.000 0.000
0.000 0.500 0.000
0.000 0.000 0.000
0.500 0.500 0.500

---

What did we get for formation energy without anion corrections? Answer: -0.62; -0.44; -1.35 eV per atom, in the order shown.